[1]
A relaxed structure of TeRuPt. Source: Alexandria via LeMat-Bulk, functional PBE.

Cell: 3.1824 3.1824 6.1798 Å, 90.00 90.00 120.00°
Fractional coordinates of all 3 atoms:
1 Te 0.0000 0.0000 0.0000
2 Ru 0.3333 0.6667 0.6898
3 Pt 0.6667 0.3333 0.3516

Total magnetization, μB per formula unit: 0.00
Energy relative to the lowest polymorph listed for this composition, eV per atom: 0.246
Formation energy without anion corrections, eV per atom: 0.387

[2]
A relaxed structure of TeRuPt3. Source: Alexandria via LeMat-Bulk, functional PBE.

Cell: 4.8146 4.8146 4.8146 Å, 90.00 90.00 90.00°
Fractional coordinates of all 5 atoms:
1 Te 0.0000 0.0000 0.0000
2 Ru 0.5000 0.5000 0.5000
3 Pt 0.0000 0.5000 0.5000
4 Pt 0.5000 0.0000 0.5000
5 Pt 0.5000 0.5000 0.0000

Total magnetization, μB per formula unit: 0.00
Energy relative to the lowest polymorph listed for this composition, eV per atom: 0.000
Formation energy without anion corrections, eV per atom: 1.175

[3]
A relaxed structure of Te2RuPt. Source: Alexandria via LeMat-Bulk, functional PBE.

Cell: 3.8912 3.9086 5.5334 Å, 90.00 90.85 90.00°
Fractional coordinates of all 4 atoms:
1 Te 0.0000 0.0000 0.0000
2 Te 0.5000 0.5000 0.5000
3 Ru 0.0000 0.0000 0.5000
4 Pt 0.5000 0.5000 0.0000

Total magnetization, μB per formula unit: 0.00
Energy relative to the lowest polymorph listed for this composition, eV per atom: 0.176
Formation energy without anion corrections, eV per atom: 0.144

Please write out number 3 again, unchanged.
A relaxed structure of Te2RuPt. Source: Alexandria via LeMat-Bulk, functional PBE.

Cell: 3.8912 3.9086 5.5334 Å, 90.00 90.85 90.00°
Fractional coordinates of all 4 atoms:
1 Te 0.0000 0.0000 0.0000
2 Te 0.5000 0.5000 0.5000
3 Ru 0.0000 0.0000 0.5000
4 Pt 0.5000 0.5000 0.0000

Total magnetization, μB per formula unit: 0.00
Energy relative to the lowest polymorph listed for this composition, eV per atom: 0.176
Formation energy without anion corrections, eV per atom: 0.144

Question: Number 3 is which compound?
Answer: Te2RuPt

Question: Which formula does entry 3 have?
Answer: Te2RuPt